Entry 1:
A plane-wave DFT calculation with PBE-GGA was carried out for an optimized crystal structure of TiSiOsRu.

Cell lengths 4.256, 4.256, 4.256 Å; angles 60.00, 60.00, 60.00 degrees
Fractional positions:
Si 0.750 0.750 0.750
Ru 0.500 0.500 0.500
Ti 0.250 0.250 0.250
Os 0.000 0.000 0.000

## Properties
* space group: F-43m
* uncorrected formation energy: -0.7527 eV per atom



Entry 2:
A plane-wave DFT calculation with PBE-GGA was carried out for an optimized crystal structure of TmTlGa4.

Cell lengths 5.613, 5.613, 5.613 Å; angles 60.00, 60.00, 60.00 degrees
Fractional positions:
Ga 0.626 0.626 0.626
Tl 0.250 0.250 0.250
Ga 0.626 0.626 0.123
Tm 0.000 0.000 0.000
Ga 0.626 0.123 0.626
Ga 0.123 0.626 0.626

## Properties
* space group: F-43m



no.,total DFT energy (no corrections) (eV/atom),spin magnetization (μB/cell)
1,-9.2086,0.00
2,-3.3272,0.00